The following is a DFT calculation (GGA-PBEsol) of crystalline TlGaTc2 at its relaxed geometry.

Formation energy: 0.51 eV/atom
Fermi-level density of states: 23.7 states/eV/cell

Lattice parameters (Å, degrees): 6.3024 6.3024 6.3024 90.00 90.00 90.00
Last column: nearest neighbours and their distance in Å.
Space group Fm-3m (No. 225)
One atom of each set of equivalent atoms:
1 Tl 0.0000 0.0000 0.0000 x4  8 Tc 2.73
2 Ga 0.0000 0.0000 0.5000 x4  8 Tc 2.73
3 Tc 0.2500 0.2500 0.2500 x8  4 Tl 2.73, 4 Ga 2.73